# Ac2PrAu3, optimized geometry, DFT PBE
data_Ac2PrAu3
_chemical_formula_sum 'Ac8 Pr4 Au12'
_symmetry_space_group_name_H-M 'C m m m'
_symmetry_Int_Tables_number 65
_symmetry_space_group_name_Hall '-C 2 2'
_cell_length_a 5.471
_cell_length_b 16.436
_cell_length_c 7.661
_cell_angle_alpha 90.00
_cell_angle_beta 90.00
_cell_angle_gamma 90.00
loop_
_atom_site_label
_atom_site_type_symbol
_atom_site_fract_x
_atom_site_fract_y
_atom_site_fract_z
_atom_site_occupancy
Ac1 Ac 0.000 0.000 0.000 1
Ac2 Ac 0.000 0.000 0.500 1
Ac3 Ac 0.000 0.333 0.000 1
Pr1 Pr 0.000 0.333 0.500 1
Au1 Au 0.000 0.171 0.265 1
Au2 Au 0.000 0.500 0.255 1
# energy above the most stable polymorph in this dataset	0	meV/atom
# formation energy from the elements	-755	meV per atom
# Fermi-level density of states	18.618	states/eV per cell